## TbEr2Tm3Bi6 (PBE)

Data for crystalline TbEr2Tm3Bi6 at its relaxed geometry.

Calculated values
Size of the total moment (μB/atom): 0.00
Electronic total energy (eV per atom): -5.013
Crystal system: monoclinic

Lattice parameters (Å, degrees): 9.935 9.935 8.889 102.85 102.85 25.84
Positions (direct):
Tb: 0.000 0.000 0.000
Er: 0.333 0.333 0.667
Er: 0.667 0.667 0.333
Tm: 0.000 0.000 0.500
Tm: 0.334 0.334 0.167
Tm: 0.666 0.666 0.833
Bi: 0.166 0.166 0.584
Bi: 0.168 0.168 0.083
Bi: 0.500 0.500 0.253
Bi: 0.500 0.500 0.747
Bi: 0.832 0.832 0.917
Bi: 0.834 0.834 0.416